Entry 1:
This record from the Alexandria database describes Na3BiC after structural relaxation. The functional is PBE.

Cell: 5.0278 5.0278 5.0278 Å, 90.00 90.00 90.00°
Site moments in Bohr magnetons follow the coordinates.
Atoms (fractional coordinates):
Bi 0.5000 0.5000 0.5000  -0.13
Na 0.5000 0.0000 0.0000  0.01
C 0.0000 0.0000 0.0000  1.02
Na 0.0000 0.5000 0.0000  0.02
Na 0.0000 0.0000 0.5000  0.03

Properties
calculated total energy = -13.25 eV per formula unit
magnetic moment = 2.104 μB per formula unit
symmetry = No. 221

---

Entry 2:
This record from the Alexandria database describes NdTcF after structural relaxation. The functional is PBE.

Cell: 5.0012 5.0012 5.7173 Å, 108.31 108.31 76.27°
Atoms (fractional coordinates):
Tc 0.1412 0.1412 0.1531
Nd 0.7448 0.7448 0.2582
Nd 0.2552 0.2552 0.7418
F 0.4383 0.4383 0.2182
F 0.5617 0.5617 0.7818
Tc 0.8588 0.8588 0.8469

Properties
formation energy from raw total energies = -0.87 eV per atom
magnetic moment = 0.000 μB per formula unit
symmetry = No. 12

---

Entry 3:
This record from the Alexandria database describes LaSc2Ru after structural relaxation. The functional is PBE.

Cell: 4.9895 4.9895 3.6174 Å, 90.00 90.00 105.07°
Atoms (fractional coordinates):
Ru 0.0000 0.5000 0.5000
La 0.5000 0.0000 0.5000
Sc 0.0000 0.0000 0.0000
Sc 0.5000 0.5000 0.0000

Properties
calculated total energy = -26.49 eV per formula unit
magnetic moment = 0.000 μB per formula unit
symmetry = No. 65

---

Entry 4:
This record from the Alexandria database describes KReNiSb2 after structural relaxation. The functional is PBE.

Cell: 5.1794 4.9140 5.1794 Å, 90.00 90.00 90.00°
Site moments in Bohr magnetons follow the coordinates.
Atoms (fractional coordinates):
K 0.5000 0.5000 0.5000  0.00
Sb 0.0000 0.0000 0.5000  0.01
Re 0.0000 0.0000 0.0000  0.02
Ni 0.0000 0.5000 0.0000  0.20
Sb 0.5000 0.0000 0.0000  0.01

Properties
formation energy from raw total energies = 0.48 eV per atom
magnetic moment = 0.237 μB per formula unit
symmetry = No. 123

---

Entry 5:
This record from the Alexandria database describes LiPbIBr2 after structural relaxation. The functional is PBE.

Cell: 4.5218 8.7651 10.1929 Å, 81.52 90.00 90.00°
Atoms (fractional coordinates):
Li 0.2500 0.0714 0.8967
Pb 0.2500 0.6805 0.3554
I 0.7500 0.4127 0.3278
Br 0.7500 0.1906 0.9536
Li 0.7500 0.9286 0.1033
I 0.2500 0.5873 0.6722
Br 0.2500 0.8094 0.0464
Br 0.2500 0.0889 0.6466
Br 0.7500 0.9111 0.3534
Pb 0.7500 0.3195 0.6446

Properties
formation energy from raw total energies = -1.06 eV per atom
magnetic moment = 0.000 μB per formula unit
symmetry = No. 11

---

Entry 6:
This record from the Alexandria database describes CaInSnCl5 after structural relaxation. The functional is PBE.

Cell: 7.6903 7.6903 11.0999 Å, 111.16 111.16 97.41°
Atoms (fractional coordinates):
Cl 0.7869 0.6193 0.4099
Sn 0.2561 0.7439 0.7500
Cl 0.1032 0.6617 0.9276
Cl 0.2131 0.3807 0.5901
Cl 0.6617 0.1032 0.4276
In 0.6966 0.3034 0.7500
Cl 0.0393 0.9607 0.2500
In 0.3034 0.6966 0.2500
Cl 0.6193 0.7869 0.9099
Ca 0.0000 0.0000 0.0000
Ca 0.0000 0.0000 0.5000
Cl 0.9607 0.0393 0.7500
Cl 0.3807 0.2131 0.0901
Cl 0.8968 0.3383 0.0724
Sn 0.7439 0.2561 0.2500
Cl 0.3383 0.8968 0.5724

Properties
formation energy from raw total energies = -1.45 eV per atom
magnetic moment = 0.000 μB per formula unit
symmetry = No. 15

---

Entry 7:
This record from the Alexandria database describes ZrHPd2Pb after structural relaxation. The functional is PBE.

Cell: 4.2061 4.2061 4.4734 Å, 90.00 90.00 90.00°
Atoms (fractional coordinates):
Pd 0.0000 0.5000 0.0000
H 0.0000 0.0000 0.0000
Pb 0.5000 0.5000 0.5000
Pd 0.5000 0.0000 0.0000
Zr 0.0000 0.0000 0.5000

Properties
calculated total energy = -27.48 eV per formula unit
magnetic moment = 0.000 μB per formula unit
symmetry = No. 123

---

Entry 8:
This record from the Alexandria database describes TlWBr2 after structural relaxation. The functional is PBE.

Cell: 3.3132 3.3132 8.5812 Å, 90.00 90.00 90.00°
Site moments in Bohr magnetons follow the coordinates.
Atoms (fractional coordinates):
Br 0.0000 0.0000 0.9230  -0.01
Br 0.5000 0.5000 0.2911  0.00
Tl 0.0000 0.0000 0.5256  0.01
W 0.5000 0.5000 0.7603  0.45

Properties
formation energy from raw total energies = 0.61 eV per atom
magnetic moment = 0.552 μB per formula unit
symmetry = No. 99